HgHAu3: relaxed, GGA-PBE.

Cell lengths 5.3057, 5.3057, 5.3057 Å; angles 90.00, 90.00, 90.00 degrees
Space group Pm-3m (No. 221)
One atom of each set of equivalent atoms:
Hg: 0.0000 0.0000 0.0000 x1
H: 0.5000 0.5000 0.5000 x1
Au: 0.0000 0.0000 0.5000 x3

Results
DFT total energy ... -7.77 eV per formula unit
Total magnetic moment ... 0.94 Bohr magnetons per cell
Crystal system ... cubic
Energy above the most stable polymorph in this dataset ... 881 meV per atom


SmGa4Pd2: relaxed, GGA-PBE.

Cell lengths 7.8409, 7.8409, 4.2229 Å; angles 90.00, 90.00, 90.00 degrees
Space group P4_2/mnm (No. 136)
One atom of each set of equivalent atoms:
Sm: 0.0000 0.0000 0.0000 x2
Ga: 0.0850 0.3316 0.5000 x8
Pd: 0.2171 0.7829 0.5000 x4

Results
DFT total energy ... -31.18 eV per formula unit
Total magnetic moment ... 0.00 Bohr magnetons per cell
Crystal system ... tetragonal
Energy above the most stable polymorph in this dataset ... 129 meV per atom


LaOsN2F: relaxed, GGA-PBE.

Cell lengths 4.5827, 4.5827, 4.4296 Å; angles 90.00, 90.00, 90.00 degrees
Space group P4/mmm (No. 123)
One atom of each set of equivalent atoms:
La: 0.0000 0.0000 0.0000 x1
Os: 0.5000 0.5000 0.5000 x1
N: 0.0000 0.5000 0.0000 x2
F: 0.0000 0.0000 0.5000 x1

Results
DFT total energy ... -29.17 eV per formula unit
Total magnetic moment ... 3.20 Bohr magnetons per cell
Crystal system ... tetragonal
Energy above the most stable polymorph in this dataset ... 1881 meV per atom
Formation energy without anion corrections ... 1.101 eV per atom


SrTl3In3: relaxed, GGA-PBE.

Cell lengths 6.9755, 6.9755, 30.8267 Å; angles 90.00, 90.00, 120.00 degrees
Space group R-3 (No. 148, hexagonal axes)
One atom of each set of equivalent atoms:
Sr: 0.0000 0.0000 0.2035 x6
Tl: 0.0106 0.5241 0.2242 x18
In: 0.0477 0.6054 0.3638 x18

Results
DFT total energy ... -17.81 eV per formula unit
Total magnetic moment ... 0.00 Bohr magnetons per cell
Crystal system ... trigonal
Energy above the most stable polymorph in this dataset ... 0 meV per atom